The following is a PBE calculation of a relaxed structure of AcIn4Ag4, from Alexandria.

Summary:
Excess energy over the best structure of this formula in the dataset = 0.0 meV per atom
Energy relative to the elements = -0.158 eV per atom

a b c (Å): 6.567 6.567 10.041
angles (deg): 90.00 90.00 90.00
Sites, in units of the cell vectors:
Ag (0.000, 0.285, 0.425)
Ag (0.715, 0.000, 0.575)
Ag (0.215, 0.500, 0.925)
Ag (0.285, 0.000, 0.575)
Ag (0.000, 0.715, 0.425)
Ag (0.785, 0.500, 0.925)
Ag (0.500, 0.215, 0.075)
Ag (0.500, 0.785, 0.075)
In (0.000, 0.730, 0.707)
In (0.270, 0.000, 0.293)
In (0.230, 0.500, 0.207)
In (0.770, 0.500, 0.207)
In (0.730, 0.000, 0.293)
In (0.500, 0.770, 0.793)
In (0.000, 0.270, 0.707)
In (0.500, 0.230, 0.793)
Ac (0.000, 0.000, 0.000)
Ac (0.500, 0.500, 0.500)